No. 1
VASP calculation (PBE-GGA) on Ca2YAl after structural relaxation.

Its formation energy is 0.224 eV per atom.

The space group is I-42d (No. 122) and the conventional cell measures 8.965, 8.965 and 6.507 Å, with angles of 90.00, 90.00 and 90.00 degrees. Symmetry generates all atoms from Ca at (0.204, 0.250, 0.125), Y at (0.000, 0.000, 0.500) and Al at (0.000, 0.000, 0.000).

---

No. 2
VASP calculation (PBE-GGA) on Ca2TaTc after structural relaxation.

As for the offset from the most stable computed form: 1077 meV/atom. Its formation energy is 1.236 eV per atom.

The space group is Fm-3m (No. 225) and the conventional cell measures 7.107, 7.107 and 7.107 Å, with angles of 90.00, 90.00 and 90.00 degrees. Symmetry generates all atoms from Ca at (0.250, 0.250, 0.250), Ta at (0.000, 0.000, 0.000) and Tc at (0.000, 0.000, 0.500).

---

No. 3
VASP calculation (PBE-GGA) on Na2PaCl7 after structural relaxation.

The uncorrected formation energy comes out at -1793 meV per atom.

The space group is C2/c (No. 15) and the conventional cell measures 18.639, 8.289 and 12.942 Å, with angles of 90.00, 131.73 and 90.00 degrees. Symmetry generates all atoms from Na at (0.029, 0.245, 0.480), Pa at (0.000, 0.179, 0.750), Cl at (0.000, 0.149, 0.250), Cl at (0.036, 0.438, 0.903), Cl at (0.100, 0.078, 0.011) and Cl at (0.155, 0.170, 0.795).

---

| no. | volume (Å³ per cell) |
| --- | --- |
| 1 | 523.0 |
| 2 | 359.0 |
| 3 | 1492.1 |